The following is a DFT calculation (PBE-GGA) of BaMg2ZnF8 after structural relaxation.

For the magnetic moment, the calculation gives 0.00 μB per formula unit. The energy relative to the elements, uncorrected is -38.75 eV per formula unit.

It has space group P-1 (No. 2), with a = 4.582 Å, b = 5.011 Å, c = 7.849 Å, α = 95.03°, β = 90.81° and γ = 94.67°. Symmetry generates all atoms from Ba at (0.000, 0.000, 0.000), Mg at (0.474, 0.543, 0.687), Zn at (0.000, 0.000, 0.500), F at (0.153, 0.226, 0.316), F at (0.184, 0.242, 0.713), F at (0.334, 0.713, 0.486) and F at (0.431, 0.718, 0.911).